VCrGaSi PBE relaxed; formation energy without anion corrections = -89 meV per atom; calculated volume = 54 Å³/cell; excess energy over the best structure of this formula in the dataset = 74 meV per atom; mass density = 6.18 g/cm3
1.0
2.663 0.000 0.000
1.257 4.689 0.000
1.290 1.853 4.320
V Cr Ga Si
1 1 1 1
direct
0.000 0.000 0.000 V
0.406 0.564 0.574 Cr
0.696 0.510 0.060 Ga
0.709 0.031 0.530 Si